Here is a relaxed ZrHgSe2Br crystal from the Alexandria database. Energies are from GGA-PBEsol.

polymorph energy (0 for the lowest one) = 0 meV/atom
uncorrected formation energy = -0.59 eV/atom
density = 6.24 g/cm³
symmetry = P4/mmm (123)
spin magnetization = 0.0 μB/f.u.

a = 5.157 Å, b = 5.157 Å, c = 5.302 Å
α = 90.00°, β = 90.00°, γ = 90.00°
Sites, in units of the cell vectors:
Se 0.500 0.000 0.000
Se 0.000 0.500 0.000
Hg 0.500 0.500 0.500
Zr 0.000 0.000 0.000
Br 0.000 0.000 0.500